DFT (PBE-GGA) results for an optimized crystal structure of ScRh2Cl.

Lattice parameters (Å, degrees): 9.649 3.067 4.458 90.00 95.41 90.00
Positions (direct):
Sc (0.000, 0.000, 0.000)
Sc (0.500, 0.500, 0.000)
Rh (0.221, 0.500, 0.229)
Rh (0.279, 0.000, 0.771)
Rh (0.721, 0.000, 0.229)
Rh (0.779, 0.500, 0.771)
Cl (0.000, 0.500, 0.500)
Cl (0.500, 0.000, 0.500)

Computed properties:
- distance to the lowest polymorph of the same formula (eV per atom) = 0.028
- formation energy from raw total energies (eV per atom) = -0.48
- space-group type = C2/m
- VASP energy (eV per cell) = -49.563